Ta2CrP: single point on PBEsol structure, SCAN.

Properties
V ... 14.498 Å³ per atom
Total DFT energy (no corrections) ... -40.6310 eV per atom
Total magnetic moment ... 0.00 Bohr magnetons per cell

Cell lengths 9.037, 3.136, 4.346 Å; angles 90.00, 109.69, 90.00 degrees
Sites, in units of the cell vectors:
Ta (0.000, 0.000, 0.000)
Ta (0.230, 0.000, 0.706)
Ta (0.500, 0.500, 0.000)
Ta (0.730, 0.500, 0.706)
Cr (0.257, 0.500, 0.262)
Cr (0.757, 0.000, 0.262)
P (0.475, 0.000, 0.485)
P (0.975, 0.500, 0.485)


CaTaPb: single point on PBEsol structure, SCAN.

Properties
V ... 23.763 Å³ per atom
Total magnetic moment ... 0.45 Bohr magnetons per cell
Energy relative to the lowest polymorph listed for this composition ... 0.0 meV/atom

Cell lengths 3.262, 3.262, 7.734 Å; angles 90.00, 90.00, 120.00 degrees
Sites, in units of the cell vectors:
Ca (0.000, 0.000, 0.000)
Ta (0.667, 0.333, 0.330)
Pb (0.333, 0.667, 0.639)


MgCu4Ag: single point on PBEsol structure, SCAN.

Properties
V ... 13.375 Å³ per atom
Total DFT energy (no corrections) ... -16.2658 eV per atom
Total magnetic moment ... 0.00 Bohr magnetons per cell

Cell lengths 4.842, 4.842, 4.842 Å; angles 60.00, 60.00, 60.00 degrees
Sites, in units of the cell vectors:
Mg (0.000, 0.000, 0.000)
Cu (0.125, 0.625, 0.625)
Cu (0.625, 0.125, 0.625)
Cu (0.625, 0.625, 0.125)
Cu (0.625, 0.625, 0.625)
Ag (0.250, 0.250, 0.250)


LaZr2Cl: single point on PBEsol structure, SCAN.

Properties
V ... 23.323 Å³ per atom
Uncorrected formation energy ... 0.065 eV per atom
Total magnetic moment ... 0.00 Bohr magnetons per cell
Energy relative to the lowest polymorph listed for this composition ... 334.4 meV/atom

Cell lengths 5.884, 9.921, 3.196 Å; angles 90.00, 90.00, 90.00 degrees
Sites, in units of the cell vectors:
La (0.000, 0.000, 0.000)
La (0.500, 0.500, 0.000)
Zr (0.250, 0.250, 0.500)
Zr (0.250, 0.750, 0.500)
Zr (0.750, 0.250, 0.500)
Zr (0.750, 0.750, 0.500)
Cl (0.000, 0.500, 0.000)
Cl (0.500, 0.000, 0.000)